# 1
DFT (PBE) results for a relaxed structure of LiAg2W.

Properties
crystal system	cubic

a b c (Å): 6.339 6.339 6.339
angles (deg): 90.00 90.00 90.00
Atoms (fractional coordinates):
Li: 0.000 0.000 0.000
Li: 0.000 0.500 0.500
Li: 0.500 0.000 0.500
Li: 0.500 0.500 0.000
Ag: 0.000 0.000 0.500
Ag: 0.000 0.500 0.000
Ag: 0.250 0.250 0.750
Ag: 0.250 0.750 0.250
Ag: 0.500 0.000 0.000
Ag: 0.500 0.500 0.500
Ag: 0.750 0.250 0.250
Ag: 0.750 0.750 0.750
W: 0.250 0.250 0.250
W: 0.250 0.750 0.750
W: 0.750 0.250 0.750
W: 0.750 0.750 0.250

=====

# 2
DFT (PBE) results for a relaxed structure of Li2AgW2.

Properties
crystal system	orthorhombic

a b c (Å): 7.520 7.520 7.520
angles (deg): 143.84 54.20 141.04
Atoms (fractional coordinates):
Li: 0.093 0.096 0.190
Li: 0.407 0.596 0.003
Li: 0.593 0.404 0.997
Li: 0.907 0.904 0.810
Ag: 0.250 0.750 0.500
Ag: 0.750 0.250 0.500
W: 0.204 0.614 0.818
W: 0.296 0.114 0.410
W: 0.704 0.886 0.590
W: 0.796 0.386 0.182

=====

Final energy? In order: -4.301 -6.119 eV/atom.